# 1
Density functional theory data (SCAN) for LiHg3Te at its PBEsol-relaxed geometry.

## Properties
Size of the total moment, μB per atom: 0.00
Formation energy (no corrections), eV per atom: 0.087
SG: Pm-3m, No. 221

a b c (Å): 4.9864 4.9864 4.9864
angles (deg): 90.00 90.00 90.00
Sites, in units of the cell vectors:
Hg 0.0000 0.0000 0.5000
Hg 0.0000 0.5000 0.0000
Hg 0.5000 0.0000 0.0000
Te 0.5000 0.5000 0.5000
Li 0.0000 0.0000 0.0000

---

# 2
Density functional theory data (SCAN) for GeSb2Pd at its PBEsol-relaxed geometry.

## Properties
Size of the total moment, μB per atom: 0.00
Formation energy (no corrections), eV per atom: -0.063
SG: I-42d, No. 122

a b c (Å): 6.1182 6.1182 7.2850
angles (deg): 114.83 114.83 90.00
Sites, in units of the cell vectors:
Sb 0.1250 0.1088 0.7500
Sb 0.6250 0.6412 0.7500
Sb 0.3588 0.8750 0.2500
Sb 0.8912 0.3750 0.2500
Pd 0.0000 0.0000 0.0000
Pd 0.2500 0.7500 0.5000
Ge 0.5000 0.5000 0.0000
Ge 0.7500 0.2500 0.5000

---

# 3
Density functional theory data (SCAN) for CsAg3Se2 at its PBEsol-relaxed geometry.

## Properties
Size of the total moment, μB per atom: 0.00
Formation energy (no corrections), eV per atom: -0.508
SG: C2/m, No. 12

a b c (Å): 4.3346 8.4829 9.0617
angles (deg): 111.50 90.00 104.80
Sites, in units of the cell vectors:
Ag 0.4132 0.8264 0.3644
Ag 0.9436 0.8872 0.5971
Ag 0.3118 0.6235 0.5590
Ag 0.0564 0.1128 0.4029
Ag 0.5868 0.1736 0.6356
Ag 0.6882 0.3765 0.4410
Se 0.1938 0.3876 0.6856
Se 0.8062 0.6124 0.3144
Se 0.5226 0.0452 0.2217
Se 0.4774 0.9548 0.7783
Cs 0.8612 0.7225 0.9524
Cs 0.1388 0.2775 0.0476

---

Q: The lowest formation energy (no corrections) belongs to which entry?
A: CsAg3Se2

---

Q: Which formula does entry 1 have?
A: LiHg3Te

---

Q: Among the records above, which one has the highest formation energy (no corrections)?
A: LiHg3Te